(1)
A relaxed RbGaO2 crystal. Source: the Alexandria database, functional PBE-GGA.

abc: 4.4908 4.5052 12.0812
angles: 90.00 90.00 90.00
Space group F222 (No. 22)
Symmetry-distinct sites (fractional):
Rb: 0.0000 0.0000 0.0000 (multiplicity 4)
Ga: 0.2500 0.2500 0.7500 (multiplicity 4)
O: 0.0000 0.0000 0.3383 (multiplicity 8)

Formation energy from raw total energies = -1.66 eV per atom
Density of states at the Fermi level = 0.00 states/eV/cell
Size of the total moment = 0.00 μB per cell

***

(2)
A relaxed CaO crystal. Source: the Alexandria database, functional PBE-GGA.

abc: 4.0118 4.0118 4.8152
angles: 90.00 90.00 120.00
Space group P6_3/mmc (No. 194)
Symmetry-distinct sites (fractional):
Ca: 0.3333 0.6667 0.2500 (multiplicity 2)
O: 0.3333 0.6667 0.7500 (multiplicity 2)

Formation energy from raw total energies = -2.89 eV per atom
Density of states at the Fermi level = 0.00 states/eV/cell
Size of the total moment = 0.00 μB per cell

***

(3)
A relaxed MgTc3W crystal. Source: the Alexandria database, functional PBE-GGA.

abc: 4.3863 4.3863 4.3863
angles: 90.00 90.00 90.00
Space group Pm-3m (No. 221)
Symmetry-distinct sites (fractional):
Mg: 0.0000 0.0000 0.0000 (multiplicity 1)
Tc: 0.0000 0.0000 0.5000 (multiplicity 3)
W: 0.5000 0.5000 0.5000 (multiplicity 1)

Density of states at the Fermi level = 7.00 states/eV/cell
E above lowest polymorph = 2.65 eV/f.u.
Size of the total moment = 1.07 μB per cell
Calculated formation energy = 1985 meV per atom

***

Number 2 is which compound?
CaO

***

Among the records above, which one has the highest density of states at the Fermi level?
MgTc3W

***

Number 2 is which compound?
CaO